A relaxed structure of CeGeCl6. Source: the Alexandria database, functional PBE.

a b c (Å): 6.947 6.947 6.635
angles (deg): 97.52 97.52 122.95
Fractional positions:
Ce1 0.000 0.000 0.000
Ge1 0.500 0.500 0.500
Cl1 0.108 0.394 0.251
Cl2 0.248 0.248 0.752
Cl3 0.394 0.108 0.251
Cl4 0.606 0.892 0.749
Cl5 0.752 0.752 0.248
Cl6 0.892 0.606 0.749

## Properties
The value obtained for the offset from the most stable computed form is 0 meV/atom. As for the space group: C2/m. As for the final energy: -4.2002 eV/atom. As for the theoretical density: 2.7 g/cm3. For the energy relative to the elements, uncorrected, the calculation gives -1496 meV per atom.